No. 1
Computed, not measured: an optimized crystal structure of Rb2SiPbBr6 at the GGA-PBE level of DFT.

It has space group Fm-3m (No. 225), with a = 11.4046 Å, b = 11.4046 Å, c = 11.4046 Å, α = 90.00°, β = 90.00° and γ = 90.00°. Symmetry generates all atoms from Rb at (0.2500, 0.2500, 0.2500), Si at (0.0000, 0.0000, 0.0000), Pb at (0.0000, 0.0000, 0.5000) and Br at (0.0000, 0.0000, 0.2377).

For the volume, the calculation gives 37.08 Å³ per atom. For the total energy, the calculation gives -0.1167 hartree per atom. The spin magnetization is 0.00 μB per cell. The energy relative to the elements, uncorrected comes out at -103 kJ/mol of atoms.

No. 2
Computed, not measured: an optimized crystal structure of RbSi2PbBr at the GGA-PBE level of DFT.

It has space group P4/mmm (No. 123), with a = 5.2847 Å, b = 5.2847 Å, c = 5.8593 Å, α = 90.00°, β = 90.00° and γ = 90.00°. Symmetry generates all atoms from Rb at (0.0000, 0.0000, 0.0000), Si at (0.0000, 0.5000, 0.5000), Pb at (0.5000, 0.5000, 0.0000) and Br at (0.0000, 0.0000, 0.5000).

For the volume, the calculation gives 32.73 Å³ per atom. For the total energy, the calculation gives -0.1000 hartree per atom. The spin magnetization is 0.00 μB per cell. The energy relative to the elements, uncorrected comes out at 69 kJ/mol of atoms.

No. 3
Computed, not measured: an optimized crystal structure of RbSmPbBr6 at the GGA-PBE level of DFT.

It has space group P-31c (No. 163), with a = 7.7424 Å, b = 7.7424 Å, c = 14.9227 Å, α = 90.00°, β = 90.00° and γ = 120.00°. Symmetry generates all atoms from Rb at (0.0000, 0.0000, 0.0000), Sm at (0.3333, 0.6667, 0.2500), Pb at (0.3333, 0.6667, 0.7500) and Br at (0.0175, 0.3796, 0.1377).

For the volume, the calculation gives 43.04 Å³ per atom. For the total energy, the calculation gives -0.1367 hartree per atom. The spin magnetization is 0.00 μB per cell. The energy relative to the elements, uncorrected comes out at -151 kJ/mol of atoms.

No. 4
Computed, not measured: an optimized crystal structure of Rb3SnPb2Br9 at the GGA-PBE level of DFT.

It has space group P-3m1 (No. 164), with a = 8.3993 Å, b = 8.3993 Å, c = 10.2644 Å, α = 90.00°, β = 90.00° and γ = 120.00°. Symmetry generates all atoms from Rb at (0.0000, 0.0000, 0.0000), Rb at (0.3333, 0.6667, 0.6680), Sn at (0.0000, 0.0000, 0.5000), Pb at (0.3333, 0.6667, 0.1697), Br at (0.0000, 0.5000, 0.0000) and Br at (0.1647, 0.3295, 0.3359).

For the volume, the calculation gives 41.81 Å³ per atom. For the total energy, the calculation gives -0.1163 hartree per atom. The spin magnetization is 0.00 μB per cell. The energy relative to the elements, uncorrected comes out at -116 kJ/mol of atoms.

- spin magnetization of number 3 (RbSmPbBr6)?
  0.00 μB per cell